[1]
{
  "formula": "MgSi2Pb",
  "functional": "PBE",
  "state": "relaxed",
  "magnetic_moment_mub_per_cell": 0.00,
  "density_g_cm3": 5.654,
  "sg": "Cmmm",
  "e_tot_ev_per_atom": -3.665,
  "e_form_raw_ev_per_atom": 0.37,
  "de_polymorph_mev_per_atom": 149.6,
  "dos_ef_per_ev_cell": 2.2,
  "cell": [[2.254, -2.323, 0.000], [2.254, 2.323, 0.000], [0.000, 0.000, 8.067]],
  "species": ["Mg", "Si", "Si", "Pb"],
  "frac_coords": [[0.000, 0.000, 0.000], [0.500, 0.500, 0.214], [0.500, 0.500, 0.786], [0.000, 0.000, 0.500]]
}

[2]
{
  "formula": "Mg2SiPb",
  "functional": "PBE",
  "state": "relaxed",
  "magnetic_moment_mub_per_cell": 0.00,
  "density_g_cm3": 5.077,
  "sg": "Pm",
  "e_tot_ev_per_atom": -2.978,
  "e_form_raw_ev_per_atom": 0.10,
  "de_polymorph_mev_per_atom": 37.8,
  "dos_ef_per_ev_cell": 1.6,
  "cell": [[3.318, 0.000, 0.000], [0.000, 4.153, 0.000], [-1.650, 0.000, 6.738]],
  "species": ["Mg", "Mg", "Si", "Pb"],
  "frac_coords": [[0.000, 0.000, 0.000], [0.358, 0.500, 0.716], [0.796, 0.000, 0.594], [0.634, 0.500, 0.267]]
}

[3]
{
  "formula": "Mg2SiPb",
  "functional": "PBE",
  "state": "relaxed",
  "magnetic_moment_mub_per_cell": 0.00,
  "density_g_cm3": 5.313,
  "sg": "I-4m2",
  "e_tot_ev_per_atom": -2.950,
  "e_form_raw_ev_per_atom": 0.13,
  "de_polymorph_mev_per_atom": 65.9,
  "dos_ef_per_ev_cell": 1.2,
  "cell": [[-2.150, 2.150, 4.798], [2.150, -2.150, 4.798], [2.150, 2.150, -4.798]],
  "species": ["Mg", "Mg", "Si", "Pb"],
  "frac_coords": [[0.000, 0.000, 0.000], [0.750, 0.250, 0.500], [0.500, 0.500, 0.000], [0.250, 0.750, 0.500]]
}

[4]
{
  "formula": "Mg4SiPb",
  "functional": "PBE",
  "state": "relaxed",
  "magnetic_moment_mub_per_cell": 0.00,
  "density_g_cm3": 3.980,
  "sg": "F-43m",
  "e_tot_ev_per_atom": -2.366,
  "e_form_raw_ev_per_atom": 0.22,
  "dos_ef_per_ev_cell": 2.5,
  "cell": [[0.000, 4.109, 4.109], [4.109, 0.000, 4.109], [4.109, 4.109, 0.000]],
  "species": ["Mg", "Mg", "Mg", "Mg", "Si", "Pb"],
  "frac_coords": [[0.125, 0.125, 0.125], [0.125, 0.125, 0.624], [0.125, 0.624, 0.125], [0.624, 0.125, 0.125], [0.500, 0.500, 0.500], [0.750, 0.750, 0.750]]
}

[5]
{
  "formula": "MgSiPb2",
  "functional": "PBE",
  "state": "relaxed",
  "magnetic_moment_mub_per_cell": 0.00,
  "density_g_cm3": 7.501,
  "sg": "Pm",
  "e_tot_ev_per_atom": -3.466,
  "e_form_raw_ev_per_atom": 0.14,
  "de_polymorph_mev_per_atom": 0.0,
  "dos_ef_per_ev_cell": 1.5,
  "cell": [[3.324, 0.000, 0.000], [0.000, 4.066, 0.000], [-1.013, 0.000, 7.647]],
  "species": ["Mg", "Si", "Pb", "Pb"],
  "frac_coords": [[0.000, 0.000, 0.000], [0.462, 0.500, 0.875], [0.284, 0.000, 0.604], [0.615, 0.500, 0.267]]
}

[6]
{
  "formula": "MgSiPb4",
  "functional": "PBE",
  "state": "relaxed",
  "magnetic_moment_mub_per_cell": 0.00,
  "density_g_cm3": 7.862,
  "sg": "F-43m",
  "e_tot_ev_per_atom": -3.138,
  "e_form_raw_ev_per_atom": 0.50,
  "dos_ef_per_ev_cell": 3.2,
  "cell": [[0.000, 4.532, 4.532], [4.532, 0.000, 4.532], [4.532, 4.532, 0.000]],
  "species": ["Mg", "Si", "Pb", "Pb", "Pb", "Pb"],
  "frac_coords": [[0.000, 0.000, 0.000], [0.250, 0.250, 0.250], [0.125, 0.625, 0.625], [0.625, 0.125, 0.625], [0.625, 0.625, 0.125], [0.625, 0.625, 0.625]]
}

[7]
{
  "formula": "MgSiPb2",
  "functional": "PBE",
  "state": "relaxed",
  "magnetic_moment_mub_per_cell": 0.00,
  "density_g_cm3": 7.609,
  "sg": "C2/m",
  "e_tot_ev_per_atom": -3.339,
  "e_form_raw_ev_per_atom": 0.27,
  "de_polymorph_mev_per_atom": 126.6,
  "dos_ef_per_ev_cell": 2.0,
  "cell": [[3.244, -4.600, 0.000], [3.244, 4.600, 0.000], [-0.017, 0.000, 3.413]],
  "species": ["Mg", "Si", "Pb", "Pb"],
  "frac_coords": [[0.000, 0.000, 0.000], [0.500, 0.500, 0.000], [0.000, 0.500, 0.500], [0.500, 0.000, 0.500]]
}

[8]
{
  "formula": "Mg2SiPb",
  "functional": "PBE",
  "state": "relaxed",
  "magnetic_moment_mub_per_cell": 0.00,
  "density_g_cm3": 5.326,
  "sg": "C2/m",
  "e_tot_ev_per_atom": -2.950,
  "e_form_raw_ev_per_atom": 0.13,
  "de_polymorph_mev_per_atom": 65.4,
  "dos_ef_per_ev_cell": 1.3,
  "cell": [[3.246, -4.094, 0.000], [3.246, 4.094, 0.000], [-0.190, 0.000, 3.330]],
  "species": ["Mg", "Mg", "Si", "Pb"],
  "frac_coords": [[0.000, 0.500, 0.000], [0.500, 0.000, 0.000], [0.000, 0.000, 0.500], [0.500, 0.500, 0.500]]
}

[9]
{
  "formula": "MgSiPb2",
  "functional": "PBE",
  "state": "relaxed",
  "magnetic_moment_mub_per_cell": 0.00,
  "density_g_cm3": 7.408,
  "sg": "R-3m",
  "e_tot_ev_per_atom": -3.300,
  "e_form_raw_ev_per_atom": 0.31,
  "de_polymorph_mev_per_atom": 166.3,
  "dos_ef_per_ev_cell": 1.4,
  "cell": [[1.723, 0.995, 10.174], [-1.723, 0.995, 10.174], [0.000, -1.990, 10.174]],
  "species": ["Mg", "Si", "Pb", "Pb"],
  "frac_coords": [[0.000, 0.000, 0.000], [0.500, 0.500, 0.500], [0.243, 0.243, 0.243], [0.757, 0.757, 0.757]]
}

[10]
{
  "formula": "Mg2SiPb2",
  "functional": "PBE",
  "state": "relaxed",
  "magnetic_moment_mub_per_cell": 0.00,
  "density_g_cm3": 6.444,
  "sg": "P4/mbm",
  "e_tot_ev_per_atom": -2.898,
  "e_form_raw_ev_per_atom": 0.31,
  "de_polymorph_mev_per_atom": 151.3,
  "dos_ef_per_ev_cell": 5.6,
  "cell": [[8.529, 0.000, 0.000], [0.000, 8.529, 0.000], [0.000, 0.000, 3.480]],
  "species": ["Mg", "Mg", "Mg", "Mg", "Si", "Si", "Pb", "Pb", "Pb", "Pb"],
  "frac_coords": [[0.132, 0.368, 0.000], [0.368, 0.868, 0.000], [0.632, 0.132, 0.000], [0.868, 0.632, 0.000], [0.000, 0.000, 0.500], [0.500, 0.500, 0.500], [0.168, 0.668, 0.500], [0.332, 0.168, 0.500], [0.668, 0.832, 0.500], [0.832, 0.332, 0.500]]
}

[11]
{
  "formula": "MgSi2Pb",
  "functional": "PBE",
  "state": "relaxed",
  "magnetic_moment_mub_per_cell": 0.00,
  "density_g_cm3": 5.589,
  "sg": "P2/m",
  "e_tot_ev_per_atom": -3.765,
  "e_form_raw_ev_per_atom": 0.27,
  "de_polymorph_mev_per_atom": 48.7,
  "dos_ef_per_ev_cell": 1.2,
  "cell": [[3.183, 0.000, 0.000], [0.000, 4.077, 0.000], [-0.059, 0.000, 6.588]],
  "species": ["Mg", "Si", "Si", "Pb"],
  "frac_coords": [[0.000, 0.000, 0.000], [0.493, 0.500, 0.813], [0.507, 0.500, 0.187], [0.000, 0.000, 0.500]]
}

[12]
{
  "formula": "MgSiPb2",
  "functional": "PBE",
  "state": "relaxed",
  "magnetic_moment_mub_per_cell": 0.00,
  "density_g_cm3": 7.427,
  "sg": "Cm",
  "e_tot_ev_per_atom": -3.394,
  "e_form_raw_ev_per_atom": 0.21,
  "de_polymorph_mev_per_atom": 71.6,
  "dos_ef_per_ev_cell": 1.3,
  "cell": [[4.773, -1.677, 0.000], [4.773, 1.677, 0.000], [-0.994, 0.000, 6.519]],
  "species": ["Mg", "Si", "Pb", "Pb"],
  "frac_coords": [[0.000, 0.000, 0.000], [0.735, 0.735, 0.152], [0.245, 0.245, 0.749], [0.484, 0.484, 0.427]]
}